Record 1
Entry from Alexandria via LeMat-Bulk: OsRuPb2 after structural relaxation (PBE-GGA).

Structure (POSCAR):
```
OsRuPb2
1.0
2.978 0.000 0.000
0.000 3.560 0.000
0.000 0.000 8.453
Ru Os Pb
1 1 2
Direct
0.000 0.000 0.557
0.500 0.500 0.692
0.000 0.000 0.935
0.500 0.500 0.316
```

Output
crystal system: orthorhombic
energy: -6.521 eV per atom
SG: No. 25
E above lowest polymorph: 0 meV/atom
calculated density: 13.1 Mg/m³


Record 2
Entry from Alexandria via LeMat-Bulk: La6Pr16Tm7 after structural relaxation (PBE-GGA).

Structure (POSCAR):
```
La6Pr16Tm7
1.0
9.870 0.000 5.698
3.290 9.306 5.698
0.000 0.000 11.397
Pr La Tm
16 6 7
Direct
0.346 0.346 0.963
0.878 0.366 0.878
0.346 0.963 0.346
0.878 0.878 0.366
0.878 0.878 0.878
0.346 0.346 0.346
0.963 0.346 0.346
0.122 0.122 0.122
0.654 0.037 0.654
0.037 0.654 0.654
0.122 0.122 0.634
0.634 0.122 0.122
0.122 0.634 0.122
0.654 0.654 0.654
0.654 0.654 0.037
0.366 0.878 0.878
0.705 0.295 0.295
0.295 0.705 0.705
0.295 0.295 0.705
0.295 0.705 0.295
0.705 0.705 0.295
0.705 0.295 0.705
0.000 0.000 0.500
0.000 0.000 0.000
0.500 0.000 0.500
0.500 0.500 0.000
0.000 0.500 0.500
0.000 0.500 0.000
0.500 0.000 0.000
```

Output
crystal system: cubic
energy: -4.553 eV per atom
SG: No. 225
calculated density: 6.8 Mg/m³